Entry 1:
An optimized crystal structure of MgSc2Cd6. Source: Alexandria, functional PBE.

Structure (extended XYZ):
```
9
Lattice="-2.3106 1.9293 1.0203 -5.2791 -3.2508 -5.8080 0.4902 -3.4988 7.7257" Properties=species:S:1:pos:R:3 pbc="T T T"
Mg 0.4902 -3.4988 7.7257
Sc -1.4329 -3.4161 3.2145
Sc -5.6666 -1.4042 -0.2764
Cd -2.7510 -1.2844 1.1492
Cd -4.3485 -3.5360 1.7889
Cd -0.8284 -1.3683 5.6616
Cd -4.1852 -4.7018 4.3632
Cd -2.9143 -0.1186 -1.4251
Cd -0.9920 -0.2012 3.0844
```

Computed properties:
ΔE_f (eV per formula unit): -1.66
Fermi-level density of states (states/eV/cell): 6.40
Electronic total energy (eV per formula unit): -21.4
Energy above the lowest structure with this stoichiometry (meV per atom): 0



Entry 2:
An optimized crystal structure of SrScIn. Source: Alexandria, functional PBE.

Structure (extended XYZ):
```
3
Lattice="5.2690 0.0000 0.0000 -2.6345 4.5631 0.0000 0.0000 0.0000 3.9326" Properties=species:S:1:pos:R:3 pbc="T T T"
In 0.0000 0.0000 0.6333
Sc 2.6345 1.5210 0.6727
Sr 0.0000 3.0420 2.6266
```

Computed properties:
ΔE_f (eV per formula unit): -0.34
Fermi-level density of states (states/eV/cell): 2.98
Electronic total energy (eV per formula unit): -11.1
Energy above the lowest structure with this stoichiometry (meV per atom): 201



Entry 3:
An optimized crystal structure of Tb3Si2GePt8. Source: Alexandria, functional PBE.

Structure (extended XYZ):
```
14
Lattice="5.4462 0.0000 0.0000 -2.7231 4.7166 0.0000 0.0000 0.0000 9.9354" Properties=species:S:1:pos:R:3 pbc="T T T"
Tb 0.0000 3.1444 5.7390
Tb 2.7231 1.5722 4.1964
Tb 0.0000 0.0000 0.0000
Si 0.0000 3.1444 1.0305
Si 2.7231 1.5722 8.9049
Ge 0.0000 0.0000 4.9677
Pt 0.0000 3.1444 8.7013
Pt 2.7231 1.5722 1.2341
Pt -1.3667 3.9335 2.8188
Pt 4.0899 0.7831 7.1166
Pt 0.0000 1.5662 2.8188
Pt 2.7231 3.1504 7.1166
Pt 1.3667 3.9335 2.8188
Pt 1.3564 0.7831 7.1166
```

Computed properties:
Energy relative to the elements, uncorrected (eV per atom): -0.924
Fermi-level density of states (states/eV/cell): 6.03
Electronic total energy (eV per formula unit): -90.6



Entry 4:
An optimized crystal structure of Pu2GaAu3. Source: Alexandria, functional PBE.

Structure (extended XYZ):
```
12
Lattice="-3.8956 3.7819 -1.8687 2.7891 -2.8242 -4.1492 -5.3252 -6.4712 3.1362" Properties=species:S:1:pos:R:3 pbc="T T T"
Pu -1.5447 -4.4083 -2.0110
Pu -0.8379 0.7252 -4.5569
Pu -4.8870 -1.1052 -0.8708
Pu -0.2686 0.2325 -1.4611
Ga -3.9205 -3.9965 0.0848
Ga -2.5112 -1.5170 -2.9666
Au -6.4912 -3.3775 0.6560
Au -3.1677 1.0533 -2.4368
Au 0.0595 -2.1360 -3.5378
Au -3.2640 -6.5667 -0.4449
Au -4.4306 -3.4736 -2.9251
Au -2.0011 -2.0399 0.0433
```

Computed properties:
ΔE_f (eV per formula unit): -3.00
Fermi-level density of states (states/eV/cell): 34.30
Electronic total energy (eV per formula unit): -44.5



Entry 5:
An optimized crystal structure of MgTe3. Source: Alexandria, functional PBE.

Structure (extended XYZ):
```
4
Lattice="4.8209 0.0000 0.0000 0.0000 4.8209 0.0000 0.0000 0.0000 4.8209" Properties=species:S:1:pos:R:3 pbc="T T T"
Mg 0.0000 0.0000 0.0000
Te 0.0000 2.4104 2.4104
Te 2.4104 0.0000 2.4104
Te 2.4104 2.4104 0.0000
```

Computed properties:
Energy relative to the elements, uncorrected (eV per atom): 0.113
Fermi-level density of states (states/eV/cell): 2.55
Electronic total energy (eV per formula unit): -10.6



Entry 6:
An optimized crystal structure of TaTlZn2. Source: Alexandria, functional PBE.

Structure (extended XYZ):
```
8
Lattice="-3.9690 3.9876 4.7818 -6.1025 -3.6163 -2.0495 -4.5559 -1.7776 3.4015" Properties=species:S:1:pos:R:3 pbc="T T T"
Tl 0.0000 0.0000 0.0000
Tl -6.7803 1.1978 4.7747
Zn -4.3664 1.5798 3.5636
Zn -5.4651 -2.1901 0.1864
Zn -7.2183 -1.2085 3.5675
Zn -12.2050 -0.9938 4.9501
Ta -5.0357 0.1856 1.3661
Ta -7.8471 -2.6041 1.3591
```

Computed properties:
ΔE_f (eV per formula unit): 2.37
Fermi-level density of states (states/eV/cell): 0.95
Electronic total energy (eV per formula unit): -14.4
Energy above the lowest structure with this stoichiometry (meV per atom): 385